1.
Entry from the Alexandria database: Ni7Pt2Rh2 after structural relaxation (PBE).

It has space group C2/m (No. 12), with a = 8.910 Å, b = 7.577 Å, c = 4.417 Å, α = 90.00°, β = 101.88° and γ = 90.00°. The inequivalent atoms are Ni at (0.000, 0.000, 0.000), Ni at (0.039, 0.500, 0.768), Ni at (0.231, 0.171, 0.238), Pt at (0.000, 0.195, 0.500) and Rh at (0.247, 0.500, 0.250).

For the final energy, the calculation gives -5.9519 eV/atom. For the energy above the most stable polymorph in this dataset, the calculation gives 74 meV/atom. Its formation enthalpy at 0 K is 0.162 eV per atom. The density of states at the Fermi level comes out at 1.47 states/eV per atom.

=====

2.
Entry from the Alexandria database: Y2TlB after structural relaxation (PBE).

It has space group Fm-3m (No. 225), with a = 7.125 Å, b = 7.125 Å, c = 7.125 Å, α = 90.00°, β = 90.00° and γ = 90.00°. The inequivalent atoms are Y at (0.250, 0.250, 0.250), Tl at (0.000, 0.000, 0.000) and B at (0.000, 0.000, 0.500).

For the final energy, the calculation gives -5.2764 eV/atom. For the energy above the most stable polymorph in this dataset, the calculation gives 112 meV/atom. Its formation enthalpy at 0 K is 0.217 eV per atom. The density of states at the Fermi level comes out at 0.53 states/eV per atom.